No. 1
A relaxed structure of Be8Zn. Source: Alexandria, functional PBE.

Calculated values
VASP energy: -0.12193 Ha/atom
Formation energy from the elements: 0.14 eV/atom

abc: 6.929 6.929 3.258
angles: 90.00 90.00 90.00
Space group I4/mmm (No. 139)
One atom of each set of equivalent atoms:
1 Be 0.000 0.341 0.000
2 Be 0.175 0.175 0.500
3 Zn 0.000 0.000 0.000

No. 2
A relaxed structure of Be2Zn. Source: Alexandria, functional PBE.

Calculated values
Energy above the lowest structure with this stoichiometry: 150 meV per atom
VASP energy: -0.09911 Ha/atom
Formation energy from the elements: 0.21 eV/atom

abc: 2.527 3.384 7.209
angles: 90.00 90.00 90.00
Space group Immm (No. 71)
One atom of each set of equivalent atoms:
1 Be 0.000 0.000 0.172
2 Zn 0.000 0.000 0.500

No. 3
A relaxed structure of BeZn3. Source: Alexandria, functional PBE.

Calculated values
VASP energy: -0.06430 Ha/atom
Formation energy from the elements: 0.14 eV/atom

abc: 4.343 5.284 4.572
angles: 90.00 90.00 90.00
Space group Pmmn (No. 59, origin choice 2)
One atom of each set of equivalent atoms:
1 Be 0.250 0.250 0.173
2 Zn 0.250 0.002 0.669
3 Zn 0.250 0.750 0.152

No. 4
A relaxed structure of Be2Zn. Source: Alexandria, functional PBE.

Calculated values
Energy above the lowest structure with this stoichiometry: 277 meV per atom
VASP energy: -0.09446 Ha/atom
Formation energy from the elements: 0.34 eV/atom

abc: 3.612 3.809 10.443
angles: 90.00 90.00 90.00
Space group Imma (No. 74)
One atom of each set of equivalent atoms:
1 Be 0.000 0.250 0.086
2 Be 0.000 0.250 0.293
3 Zn 0.000 0.250 0.582